(1)
Entry from Alexandria: a relaxed structure of MgSc2Ni (PBE).

Summary:
Energy of formation from the pure elements in kJ/mol of atoms: 8.43
DOS at the Fermi energy in states/eV/atom: 0.85

```
data_MgSc2Ni
_cell_length_a 3.2618
_cell_length_b 3.2618
_cell_length_c 29.2100
_cell_angle_alpha 90.00
_cell_angle_beta 90.00
_cell_angle_gamma 120.00
_symmetry_space_group_name_H-M 'R -3 m'
_symmetry_Int_Tables_number 166
_symmetry_space_group_name_Hall '-R 3 2"'
loop_
_atom_site_label
_atom_site_fract_x
_atom_site_fract_y
_atom_site_fract_z
Mg1 0.0000 0.0000 0.0000
Sc1 0.0000 0.0000 0.1072
Ni1 0.0000 0.0000 0.5000
```



(2)
Entry from Alexandria: a relaxed structure of Cd3SeBr (PBE).

Summary:
Energy relative to the elements, uncorrected in kJ/mol of formula units: -27
E above lowest polymorph in eV per atom: 0.000
DOS at the Fermi energy in states/eV/atom: 0.29

```
data_Cd3SeBr
_cell_length_a 5.554
_cell_length_b 5.554
_cell_length_c 5.554
_cell_angle_alpha 90.00
_cell_angle_beta 90.00
_cell_angle_gamma 90.00
_symmetry_space_group_name_H-M 'P m -3 m'
_symmetry_Int_Tables_number 221
_symmetry_space_group_name_Hall '-P 4 2 3'
loop_
_atom_site_label
_atom_site_fract_x
_atom_site_fract_y
_atom_site_fract_z
Cd1 0.000 0.000 0.500
Se1 0.000 0.000 0.000
Br1 0.500 0.500 0.500
```



(3)
Entry from Alexandria: a relaxed structure of LiPm3Pr4S8 (PBE).

Summary:
Energy relative to the elements, uncorrected in kJ/mol of formula units: -3035
DOS at the Fermi energy in states/eV/atom: 0.55

```
data_LiPm3Pr4S8
_cell_length_a 8.0963
_cell_length_b 8.0963
_cell_length_c 19.8873
_cell_angle_alpha 90.00
_cell_angle_beta 90.00
_cell_angle_gamma 120.00
_symmetry_space_group_name_H-M 'R -3 m'
_symmetry_Int_Tables_number 166
_symmetry_space_group_name_Hall '-R 3 2"'
loop_
_atom_site_label
_atom_site_fract_x
_atom_site_fract_y
_atom_site_fract_z
Li1 0.0000 0.0000 0.0000
Pm1 0.0000 0.5000 0.0000
Pr1 0.0000 0.0000 0.5000
Pr2 0.0000 0.5000 0.5000
S1 0.0000 0.0000 0.2521
S2 0.0074 0.5037 0.7460
```



(4)
Entry from Alexandria: a relaxed structure of PaNbTe4 (PBE).

Summary:
Energy relative to the elements, uncorrected in kJ/mol of formula units: -220
E above lowest polymorph in eV per atom: 0.192
DOS at the Fermi energy in states/eV/atom: 0.90

```
data_PaNbTe4
_cell_length_a 5.397
_cell_length_b 18.335
_cell_length_c 7.316
_cell_angle_alpha 90.00
_cell_angle_beta 90.00
_cell_angle_gamma 90.00
_symmetry_space_group_name_H-M 'C m c 21'
_symmetry_Int_Tables_number 36
_symmetry_space_group_name_Hall 'C 2c -2'
loop_
_atom_site_label
_atom_site_fract_x
_atom_site_fract_y
_atom_site_fract_z
Pa1 0.000 0.162 0.000
Nb1 0.000 0.397 0.853
Te1 0.000 0.101 0.389
Te2 0.000 0.269 0.652
Te3 0.000 0.329 0.208
Te4 0.000 0.460 0.505
```



(5)
Entry from Alexandria: a relaxed structure of Pm2TmSc (PBE).

Summary:
Energy of formation from the pure elements in kJ/mol of atoms: 18.67
E above lowest polymorph in eV per atom: 0.154
DOS at the Fermi energy in states/eV/atom: 2.16

```
data_Pm2TmSc
_cell_length_a 3.371
_cell_length_b 5.665
_cell_length_c 13.006
_cell_angle_alpha 90.00
_cell_angle_beta 90.00
_cell_angle_gamma 90.00
_symmetry_space_group_name_H-M 'P m m n'
_symmetry_Int_Tables_number 59
loop_
_symmetry_equiv_pos_as_xyz
'x,y,z'
'-x,-y,-z'
'-x+1/2,-y+1/2,z'
'x+1/2,y+1/2,-z'
'x+1/2,-y,-z'
'-x+1/2,y,z'
'-x,y+1/2,-z'
'x,-y+1/2,z'
loop_
_atom_site_label
_atom_site_fract_x
_atom_site_fract_y
_atom_site_fract_z
Pm1 0.250 0.250 0.187
Pm2 0.250 0.750 0.309
Tm1 0.250 0.750 0.569
Sc1 0.250 0.750 0.041
```